# 1
First-principles (PBE) data for an optimized crystal structure of Dy3InHg, as listed in Alexandria via LeMat-Bulk.

Calculated values
N(E_F): 6.3 states/eV/f.u.
formation energy from the elements: -1.8 eV per formula unit
total magnetic moment: 0.95 Bohr magnetons per cell
excess energy over the best structure of this formula in the dataset: 0.00 kcal/mol of atoms

Cell lengths 5.131, 5.130, 10.807 Å; angles 90.00, 76.27, 90.00 degrees
Positions (direct):
Dy: 0.883 0.750 0.882
Dy: 0.074 0.750 0.501
Dy: 0.264 0.750 0.120
Dy: 0.384 0.250 0.880
Dy: 0.575 0.250 0.499
Dy: 0.765 0.250 0.118
Hg: 0.171 0.250 0.307
Hg: 0.478 0.750 0.693
In: 0.669 0.750 0.311
In: 0.980 0.250 0.689



# 2
First-principles (PBE) data for an optimized crystal structure of Be2CdOs, as listed in Alexandria via LeMat-Bulk.

Calculated values
N(E_F): 2.2 states/eV/f.u.
formation energy from the elements: 2.0 eV per formula unit
total magnetic moment: 0.00 Bohr magnetons per cell

Cell lengths 2.717, 2.717, 8.205 Å; angles 90.00, 90.00, 115.86 degrees
Positions (direct):
Be: 0.500 0.500 0.212
Be: 0.000 0.000 0.007
Cd: 0.000 0.000 0.486
Os: 0.500 0.500 0.795



# 3
First-principles (PBE) data for an optimized crystal structure of Tl2ZnNi, as listed in Alexandria via LeMat-Bulk.

Calculated values
N(E_F): 2.0 states/eV/f.u.
formation energy from the elements: 1.5 eV per formula unit
total magnetic moment: 0.00 Bohr magnetons per cell
excess energy over the best structure of this formula in the dataset: 5.36 kcal/mol of atoms

Cell lengths 4.867, 4.867, 4.867 Å; angles 60.00, 60.00, 60.00 degrees
Positions (direct):
Ni: 0.000 0.000 0.000
Tl: 0.750 0.750 0.750
Tl: 0.250 0.250 0.250
Zn: 0.500 0.500 0.500



# 4
First-principles (PBE) data for an optimized crystal structure of CuSi, as listed in Alexandria via LeMat-Bulk.

Calculated values
N(E_F): 0.6 states/eV/f.u.
E_form (uncorrected): 0.133 eV per atom
total magnetic moment: 0.00 Bohr magnetons per cell

Cell lengths 4.432, 4.432, 3.714 Å; angles 90.00, 90.00, 129.34 degrees
Positions (direct):
Si: 0.398 0.602 0.250
Si: 0.602 0.398 0.750
Cu: 0.893 0.107 0.750
Cu: 0.107 0.893 0.250



# 5
First-principles (PBE) data for an optimized crystal structure of LaTb2SmDy, as listed in Alexandria via LeMat-Bulk.

Calculated values
N(E_F): 8.2 states/eV/f.u.
formation energy from the elements: 1.8 eV per formula unit
total magnetic moment: 0.00 Bohr magnetons per cell

Cell lengths 7.228, 8.480, 7.190 Å; angles 126.14, 90.00, 90.00 degrees
Positions (direct):
Tb: 0.500 0.689 0.000
Tb: 0.000 0.689 0.000
Tb: 0.000 0.311 0.000
Tb: 0.500 0.311 0.000
Sm: 0.750 0.003 0.007
Sm: 0.250 0.997 0.993
La: 0.250 0.733 0.466
La: 0.750 0.267 0.534
Dy: 0.750 0.722 0.443
Dy: 0.250 0.278 0.557



# 6
First-principles (PBE) data for an optimized crystal structure of NbBi3Mo, as listed in Alexandria via LeMat-Bulk.

Calculated values
N(E_F): 2.1 states/eV/f.u.
formation energy from the elements: 6.0 eV per formula unit
total magnetic moment: 4.43 Bohr magnetons per cell
excess energy over the best structure of this formula in the dataset: 0.00 kcal/mol of atoms

Cell lengths 5.481, 5.481, 5.481 Å; angles 90.00, 90.00, 90.00 degrees
Positions (direct):
Nb: 0.000 0.000 0.000
Mo: 0.500 0.500 0.500
Bi: 0.000 0.500 0.000
Bi: 0.000 0.000 0.500
Bi: 0.500 0.000 0.000



# 7
First-principles (PBE) data for an optimized crystal structure of In2ReIr, as listed in Alexandria via LeMat-Bulk.

Calculated values
N(E_F): 2.7 states/eV/f.u.
formation energy from the elements: 1.7 eV per formula unit
total magnetic moment: 0.00 Bohr magnetons per cell
excess energy over the best structure of this formula in the dataset: 7.42 kcal/mol of atoms

Cell lengths 4.786, 4.786, 5.356 Å; angles 80.19, 80.19, 35.66 degrees
Positions (direct):
Ir: 0.750 0.750 0.750
In: 0.002 0.002 0.997
In: 0.498 0.498 0.503
Re: 0.250 0.250 0.250



# 8
First-principles (PBE) data for an optimized crystal structure of TlGaTeO6, as listed in Alexandria via LeMat-Bulk.

Calculated values
N(E_F): 3.9 states/eV/f.u.
E_form (uncorrected): -1.145 eV per atom
total magnetic moment: 0.00 Bohr magnetons per cell

Cell lengths 5.216, 5.216, 9.595 Å; angles 90.00, 90.00, 120.00 degrees
Positions (direct):
Ga: 0.333 0.667 0.750
Ga: 0.667 0.333 0.250
O: 0.369 0.007 0.638
O: 0.637 0.631 0.638
O: 0.637 0.007 0.862
O: 0.363 0.369 0.362
O: 0.993 0.631 0.862
O: 0.993 0.363 0.638
O: 0.007 0.637 0.362
O: 0.631 0.993 0.362
O: 0.369 0.363 0.862
O: 0.007 0.369 0.138
O: 0.363 0.993 0.138
O: 0.631 0.637 0.138
Tl: 0.000 0.000 0.500
Tl: 0.000 0.000 0.000
Te: 0.667 0.333 0.750
Te: 0.333 0.667 0.250